This record from Alexandria describes crystalline Li2BeRh at its relaxed geometry. The functional is PBE.

Computed properties:
SG	Pmmm
V	49.55	Å³/cell
energy of formation from the pure elements	-15	meV per atom

Lattice parameters (Å, degrees): 2.610 4.117 4.611 90.00 90.00 90.00
Each line ends with the local moment (μB).
Fractional positions:
Be 0.500 0.500 0.750  0.00
Li 0.000 0.000 0.004  0.00
Li 0.000 0.000 0.496  0.00
Rh 0.500 0.500 0.250  0.35

---

This record from Alexandria describes crystalline TaWBr2 at its relaxed geometry. The functional is PBE.

Computed properties:
SG	Fm-3m
formation energy without anion corrections	1.338	eV per atom
energy relative to the lowest polymorph listed for this composition	1393	meV/atom
V	69.02	Å³/cell

Lattice parameters (Å, degrees): 4.604 4.604 4.604 60.00 60.00 60.00
Fractional positions:
Br 0.250 0.250 0.250
Br 0.750 0.750 0.750
W 0.500 0.500 0.500
Ta 0.000 0.000 0.000

---

This record from Alexandria describes crystalline Th4SiTc at its relaxed geometry. The functional is PBE.

Computed properties:
SG	P4/mcc
formation energy without anion corrections	-0.298	eV per atom
V	316.51	Å³/cell

Lattice parameters (Å, degrees): 6.051 7.232 7.232 90.00 90.00 90.00
Fractional positions:
Th 0.000 0.173 0.657
Th 0.000 0.827 0.343
Th 0.000 0.343 0.173
Th 0.000 0.657 0.827
Th 0.500 0.827 0.657
Th 0.500 0.173 0.343
Th 0.500 0.657 0.173
Th 0.500 0.343 0.827
Si 0.250 0.000 0.000
Si 0.750 0.000 0.000
Tc 0.250 0.500 0.500
Tc 0.750 0.500 0.500

---

This record from Alexandria describes crystalline LaSiPPt6 at its relaxed geometry. The functional is PBE.

Computed properties:
SG	Imma
formation energy without anion corrections	-0.582	eV per atom
V	357.25	Å³/cell

Lattice parameters (Å, degrees): 8.174 7.749 7.971 119.08 120.85 90.00
Fractional positions:
La 0.893 0.643 0.786
La 0.107 0.357 0.214
Si 0.500 0.500 0.000
Si 0.500 0.000 0.000
P 0.500 0.000 0.500
P 0.000 0.000 0.500
Pt 0.381 0.631 0.762
Pt 0.841 0.091 0.682
Pt 0.856 0.109 0.250
Pt 0.394 0.641 0.250
Pt 0.394 0.109 0.250
Pt 0.856 0.641 0.250
Pt 0.619 0.369 0.238
Pt 0.159 0.909 0.318
Pt 0.144 0.891 0.750
Pt 0.606 0.359 0.750
Pt 0.606 0.891 0.750
Pt 0.144 0.359 0.750

---

This record from Alexandria describes crystalline CdPdSe2O8 at its relaxed geometry. The functional is PBE.

Computed properties:
SG	P-3m1
formation energy without anion corrections	-0.525	eV per atom
V	180.66	Å³/cell

Lattice parameters (Å, degrees): 5.534 5.534 6.812 90.00 90.00 120.00
Each line ends with the local moment (μB).
Fractional positions:
Cd 0.000 0.000 0.500  0.00
Pd 0.000 0.000 0.000  1.30
Se 0.667 0.333 0.305  0.03
Se 0.333 0.667 0.695  0.03
O 0.836 0.164 0.230  0.07
O 0.836 0.672 0.230  0.07
O 0.328 0.164 0.230  0.07
O 0.672 0.836 0.770  0.07
O 0.333 0.667 0.454  0.09
O 0.667 0.333 0.546  0.09
O 0.164 0.836 0.770  0.07
O 0.164 0.328 0.770  0.07

---

This record from Alexandria describes crystalline Zr3CdO at its relaxed geometry. The functional is PBE.

Computed properties:
SG	Pm-3m
formation energy without anion corrections	-1.060	eV per atom
V	92.11	Å³/cell

Lattice parameters (Å, degrees): 4.516 4.516 4.516 90.00 90.00 90.00
Fractional positions:
O 0.000 0.000 0.000
Zr 0.000 0.500 0.000
Zr 0.000 0.000 0.500
Zr 0.500 0.000 0.000
Cd 0.500 0.500 0.500

---

This record from Alexandria describes crystalline Ce4DyTh at its relaxed geometry. The functional is PBE.

Computed properties:
SG	F-43m
energy relative to the lowest polymorph listed for this composition	103	meV/atom
V	172.95	Å³/cell
energy of formation from the pure elements	192	meV per atom

Lattice parameters (Å, degrees): 6.254 6.254 6.254 60.00 60.00 60.00
Each line ends with the local moment (μB).
Fractional positions:
Ce 0.625 0.625 0.124  0.54
Ce 0.625 0.124 0.625  0.54
Ce 0.625 0.625 0.625  0.54
Ce 0.124 0.625 0.625  0.54
Th 0.000 0.000 0.000  0.04
Dy 0.250 0.250 0.250  0.04

---

This record from Alexandria describes crystalline LiCaPt2 at its relaxed geometry. The functional is PBE.

Computed properties:
SG	P4mm
energy relative to the lowest polymorph listed for this composition	293	meV/atom
V	73.59	Å³/cell
energy of formation from the pure elements	-368	meV per atom

Lattice parameters (Å, degrees): 3.493 3.493 6.033 90.00 90.00 90.00
Fractional positions:
Ca 0.000 0.000 0.483
Li 0.500 0.500 0.812
Pt 0.000 0.000 0.979
Pt 0.500 0.500 0.226

---

This record from Alexandria describes crystalline SrAs2SeBr at its relaxed geometry. The functional is PBE.

Computed properties:
SG	P4/mmm
formation energy without anion corrections	0.720	eV per atom
energy relative to the lowest polymorph listed for this composition	882	meV/atom
V	205.24	Å³/cell

Lattice parameters (Å, degrees): 6.016 6.016 5.671 90.00 90.00 90.00
Each line ends with the local moment (μB).
Fractional positions:
Sr 0.000 0.000 0.000  0.02
As 0.000 0.500 0.000  0.52
As 0.500 0.000 0.000  0.52
Se 0.000 0.000 0.500  -0.42
Br 0.500 0.500 0.500  0.09

---

This record from Alexandria describes crystalline SbTe2Ru at its relaxed geometry. The functional is PBE.

Computed properties:
SG	I-4m2
formation energy without anion corrections	0.605	eV per atom
V	90.78	Å³/cell

Lattice parameters (Å, degrees): 5.204 5.204 5.204 125.14 125.14 81.30
Fractional positions:
Ru 0.500 0.500 0.000
Sb 0.750 0.250 0.500
Te 0.000 0.000 0.000
Te 0.250 0.750 0.500

---

This record from Alexandria describes crystalline LaCeAgGe at its relaxed geometry. The functional is PBE.

Computed properties:
SG	F-43m
V	104.84	Å³/cell
energy of formation from the pure elements	-432	meV per atom

Lattice parameters (Å, degrees): 5.293 5.293 5.293 60.00 60.00 60.00
Each line ends with the local moment (μB).
Fractional positions:
Ge 0.250 0.250 0.250  -0.03
Ag 0.750 0.750 0.750  0.04
Ce 0.000 0.000 0.000  1.07
La 0.500 0.500 0.500  0.22

---

This record from Alexandria describes crystalline Ac2Pr3Nd6 at its relaxed geometry. The functional is PBE.

Computed properties:
SG	I4/mmm
energy relative to the lowest polymorph listed for this composition	116	meV/atom
V	419.05	Å³/cell
energy of formation from the pure elements	139	meV per atom

Lattice parameters (Å, degrees): 4.971 4.971 17.322 98.25 98.25 90.00
Fractional positions:
Ac 0.433 0.433 0.865
Ac 0.567 0.567 0.135
Pr 0.000 0.000 0.000
Pr 0.905 0.905 0.810
Pr 0.095 0.095 0.190
Nd 0.169 0.669 0.338
Nd 0.669 0.169 0.338
Nd 0.831 0.331 0.662
Nd 0.331 0.831 0.662
Nd 0.750 0.750 0.501
Nd 0.250 0.250 0.499

---

This record from Alexandria describes crystalline PaMn4Ni3S12 at its relaxed geometry. The functional is PBE.

Computed properties:
SG	Im-3
formation energy without anion corrections	-0.613	eV per atom
V	315.98	Å³/cell

Lattice parameters (Å, degrees): 7.432 7.432 7.432 109.47 109.47 109.47
Each line ends with the local moment (μB).
Fractional positions:
Pa 0.000 0.000 0.000  0.34
Mn 0.500 0.000 0.000  2.25
Mn 0.500 0.500 0.500  2.25
Mn 0.000 0.500 0.000  2.25
Mn 0.000 0.000 0.500  2.25
Ni 0.000 0.500 0.500  -0.19
Ni 0.500 0.500 0.000  -0.19
Ni 0.500 0.000 0.500  -0.19
S 0.304 0.835 0.139  -0.01
S 0.696 0.165 0.861  -0.01
S 0.696 0.835 0.530  -0.01
S 0.861 0.696 0.165  -0.01
S 0.835 0.139 0.304  -0.01
S 0.165 0.470 0.304  -0.01
S 0.470 0.304 0.165  -0.01
S 0.165 0.861 0.696  -0.01
S 0.304 0.165 0.470  -0.01
S 0.139 0.304 0.835  -0.01
S 0.835 0.530 0.696  -0.01
S 0.530 0.696 0.835  -0.01

---

This record from Alexandria describes crystalline GdTmZnCu at its relaxed geometry. The functional is PBE.

Computed properties:
SG	F-43m
V	86.85	Å³/cell
energy of formation from the pure elements	-285	meV per atom

Lattice parameters (Å, degrees): 4.971 4.971 4.971 60.00 60.00 60.00
Each line ends with the local moment (μB).
Fractional positions:
Gd 0.000 0.000 0.000  -7.02
Zn 0.750 0.750 0.750  0.00
Tm 0.500 0.500 0.500  0.01
Cu 0.250 0.250 0.250  0.00

---

This record from Alexandria describes crystalline Tb7Ho3Er at its relaxed geometry. The functional is PBE.

Computed properties:
SG	P2/m
energy relative to the lowest polymorph listed for this composition	0	meV/atom
V	353.51	Å³/cell
energy of formation from the pure elements	139	meV per atom

Lattice parameters (Å, degrees): 5.511 9.859 8.873 106.04 128.42 89.98
Fractional positions:
Tb 0.916 0.830 0.916
Tb 0.853 0.709 0.353
Tb 0.681 0.359 0.181
Tb 0.319 0.641 0.819
Tb 0.500 0.000 0.500
Tb 0.147 0.291 0.647
Tb 0.084 0.170 0.084
Ho 0.280 0.000 0.780
Ho 0.000 0.500 0.000
Ho 0.720 0.000 0.220
Er 0.500 0.500 0.500

---

This record from Alexandria describes crystalline KScHg2 at its relaxed geometry. The functional is PBE.

Computed properties:
SG	I-42d
energy relative to the lowest polymorph listed for this composition	327	meV/atom
V	254.77	Å³/cell
energy of formation from the pure elements	102	meV per atom

Lattice parameters (Å, degrees): 8.339 8.339 6.942 53.08 53.08 90.00
Fractional positions:
Sc 0.000 0.000 0.000
Sc 0.750 0.250 0.500
K 0.500 0.500 0.000
K 0.250 0.750 0.500
Hg 0.670 0.125 0.250
Hg 0.080 0.625 0.250
Hg 0.375 0.330 0.750
Hg 0.875 0.920 0.750